Here is a geometry-optimized TlFeNi2 structure from Alexandria. Energies are from PBE.

Results
ΔE_f = 0.339 eV/atom
mass density = 10.94 g cm⁻³
energy above the lowest structure with this stoichiometry = 118.0 meV per atom
space group = Pmm2 (25)

Lattice parameters (Å, degrees): 4.3153 2.9104 4.5628 90.00 90.00 90.00
Fractional coordinates of all 4 atoms:
Fe (0.5000, 0.6250, 0.8484)
Ni (0.0000, 0.1250, 0.9328)
Ni (0.5000, 0.1250, 0.2837)
Tl (0.0000, 0.6250, 0.4351)